Compound: Y2SnPt
Source: the Alexandria database
Functional: PBE
Structure: optimized geometry

## Properties
M_tot ... 0.0 μB/cell
E_form ... -0.22 eV/atom
Final energy ... -5.96 eV per atom

a = 6.1424 Å, b = 6.1424 Å, c = 15.1093 Å
α = 90.00°, β = 90.00°, γ = 90.00°
Last column: nearest neighbours and their distance in Å.
Space group I-42d (No. 122)
Unique sites:
Y: 0.2141 0.2500 0.1250  2 Pt 2.77, 2 Sn 3.00
Sn: 0.0000 0.0000 0.5000  4 Y 3.00
Pt: 0.0000 0.0000 0.0000  4 Y 2.77